(1)
The following is a DFT calculation (PBE) of an optimized crystal structure of Zn2AgCl6.

The structure in CIF format:
```
data_Zn2AgCl6
_cell_length_a 12.698
_cell_length_b 11.662
_cell_length_c 6.608
_cell_angle_alpha 90.00
_cell_angle_beta 104.99
_cell_angle_gamma 90.00
_symmetry_space_group_name_H-M 'C 1 2/c 1'
_symmetry_Int_Tables_number 15
_symmetry_space_group_name_Hall '-C 2yc'
loop_
_atom_site_label
_atom_site_fract_x
_atom_site_fract_y
_atom_site_fract_z
Zn1 0.195 0.087 0.305
Ag1 0.000 0.386 0.250
Cl1 0.113 0.419 0.612
Cl2 0.134 0.249 0.127
Cl3 0.136 0.073 0.603
```

Calculated values
Crystal system: monoclinic



(2)
The following is a DFT calculation (PBE) of an optimized crystal structure of MgSiAu2.

The structure in CIF format:
```
data_MgSiAu2
_cell_length_a 6.588
_cell_length_b 6.588
_cell_length_c 6.588
_cell_angle_alpha 90.00
_cell_angle_beta 90.00
_cell_angle_gamma 90.00
_symmetry_space_group_name_H-M 'F -4 3 m'
_symmetry_Int_Tables_number 216
_symmetry_space_group_name_Hall 'F -4 2 3'
loop_
_atom_site_label
_atom_site_fract_x
_atom_site_fract_y
_atom_site_fract_z
Mg1 0.000 0.000 0.000
Si1 0.250 0.250 0.750
Au1 0.000 0.000 0.500
Au2 0.250 0.250 0.250
```

Calculated values
Crystal system: cubic



Number 1: uncorrected energy -95.36 eV/cell. Number 2: uncorrected energy -54.53 eV/cell.